(1)
Ba2ZrPtN6: optimized geometry, PBE.

The structure in extended XYZ format:
```
10
Lattice="5.1165 -2.9547 0.0000 5.1165 2.9547 0.0000 -3.4107 0.0000 4.8250" Properties=species:S:1:pos:R:3 pbc="T T T"
Ba 1.7043 0.0000 1.2069
Ba 5.1179 0.0000 3.6181
Zr -1.7054 0.0000 2.4125
Pt 5.1165 0.0000 0.0000
N 4.2744 1.4275 1.1550
N 0.0723 0.0000 3.6366
N 2.5478 1.4275 3.6701
N 4.2744 -1.4275 1.1550
N 6.7499 0.0000 1.1885
N 2.5478 -1.4275 3.6701
```

Summary:
E_tot   -6.69 eV/atom
Crystal system   monoclinic
Total magnetic moment   0.1 μB/cell

(2)
MgNpMo: optimized geometry, PBE.

The structure in extended XYZ format:
```
3
Lattice="0.0000 3.2233 3.2233 3.2233 0.0000 3.2233 3.2233 3.2233 0.0000" Properties=species:S:1:pos:R:3 pbc="T T T"
Mg 0.0000 0.0000 0.0000
Np 3.2233 3.2233 3.2233
Mo 1.6116 1.6116 1.6116
```

Summary:
E_tot   -7.48 eV/atom
Crystal system   cubic
Total magnetic moment   2.9 μB/cell

(3)
ZrW: optimized geometry, PBE.

The structure in extended XYZ format:
```
8
Lattice="3.2754 0.0000 0.0000 0.0000 4.8131 0.0000 0.0000 0.0000 9.7324" Properties=species:S:1:pos:R:3 pbc="T T T"
Zr 0.8188 1.2033 0.2808
Zr 0.8188 3.6098 2.5354
Zr 2.4565 1.2033 7.1970
Zr 2.4565 3.6098 9.4516
W 0.8188 1.2033 4.8004
W 0.8188 3.6098 6.9981
W 2.4565 1.2033 2.7343
W 2.4565 3.6098 4.9320
```

Summary:
ΔE_f   0.094 eV per atom
Crystal system   orthorhombic
Total magnetic moment   0.0 μB/cell

(4)
Nb2GeB2: optimized geometry, PBE.

The structure in extended XYZ format:
```
5
Lattice="1.5771 -5.8830 0.0000 1.5771 5.8830 0.0000 0.0000 0.0000 3.3363" Properties=species:S:1:pos:R:3 pbc="T T T"
Nb 1.5771 4.2532 0.0000
Nb 1.5771 -4.2532 0.0000
Ge 1.5771 0.0000 1.6681
B 1.5771 2.5547 1.6681
B 1.5771 -2.5547 1.6681
```

Summary:
E_tot   -8.04 eV/atom
Crystal system   orthorhombic
Total magnetic moment   0.0 μB/cell

(5)
TaHg2: optimized geometry, PBE.

The structure in extended XYZ format:
```
6
Lattice="0.0000 3.9204 3.9204 3.9204 0.0000 3.9204 3.9204 3.9204 0.0000" Properties=species:S:1:pos:R:3 pbc="T T T"
Ta 0.9801 0.9801 0.9801
Ta 6.8606 6.8606 6.8606
Hg 3.9204 1.9602 1.9602
Hg 1.9602 3.9204 1.9602
Hg 1.9602 1.9602 3.9204
Hg 3.9204 3.9204 3.9204
```

Summary:
ΔE_f   0.784 eV per atom
Crystal system   cubic
Total magnetic moment   0.0 μB/cell

(6)
In2SnAu: optimized geometry, PBE.

The structure in extended XYZ format:
```
4
Lattice="0.0000 3.6499 3.6499 3.6499 0.0000 3.6499 3.6499 3.6499 0.0000" Properties=species:S:1:pos:R:3 pbc="T T T"
In 0.0000 0.0000 0.0000
In 1.8250 1.8250 1.8250
Sn 3.6499 3.6499 3.6499
Au 5.4749 5.4749 5.4749
```

Summary:
E_tot   -3.16 eV/atom
Crystal system   cubic

(7)
InTcO3: optimized geometry, PBE.

The structure in extended XYZ format:
```
5
Lattice="3.9533 0.0000 0.0000 0.0000 3.9533 0.0000 0.0000 0.0000 3.9399" Properties=species:S:1:pos:R:3 pbc="T T T"
In 0.0000 0.0000 0.0000
Tc 1.9766 1.9766 1.9699
O 0.0000 1.9766 1.9699
O 1.9766 0.0000 1.9699
O 1.9766 1.9766 0.0000
```

Summary:
E_tot   -6.67 eV/atom
Crystal system   tetragonal
Total magnetic moment   0.0 μB/cell

(8)
Dy2Ho2CI3Cl2: optimized geometry, PBE.

The structure in extended XYZ format:
```
10
Lattice="9.1100 -1.9349 0.0000 9.1100 1.9349 0.0000 -1.5164 0.0000 8.2955" Properties=species:S:1:pos:R:3 pbc="T T T"
Dy 2.3390 0.0000 0.5383
Dy 14.3645 0.0000 7.7572
Ho 8.7850 0.0000 1.5750
Ho 7.9186 0.0000 6.7205
C 0.0000 0.0000 0.0000
I -0.7582 0.0000 4.1477
I 5.6431 0.0000 1.5791
I 11.0604 0.0000 6.7164
Cl 5.3299 0.0000 5.8286
Cl 11.3737 0.0000 2.4669
```

Summary:
E_tot   -4.92 eV/atom
Crystal system   monoclinic
Total magnetic moment   0.3 μB/cell

(9)
Na2ZnCd: optimized geometry, PBE.

The structure in extended XYZ format:
```
4
Lattice="0.0000 3.5543 3.5543 3.5543 0.0000 3.5543 3.5543 3.5543 0.0000" Properties=species:S:1:pos:R:3 pbc="T T T"
Na 0.0000 0.0000 0.0000
Na 1.7771 1.7771 1.7771
Zn 3.5543 3.5543 3.5543
Cd 5.3314 5.3314 5.3314
```

Summary:
E_tot   -1.21 eV/atom
Crystal system   cubic

(10)
K2Tm2O5: optimized geometry, PBE.

The structure in extended XYZ format:
```
9
Lattice="4.1929 0.0000 0.0000 0.0000 4.1929 0.0000 0.0000 0.0000 9.0152" Properties=species:S:1:pos:R:3 pbc="T T T"
K 0.0000 0.0000 0.0000
K 0.0000 0.0000 4.5076
Tm 2.0965 2.0965 2.0807
Tm 2.0965 2.0965 6.9345
O 0.0000 2.0965 2.6432
O 0.0000 2.0965 6.3719
O 2.0965 0.0000 2.6432
O 2.0965 0.0000 6.3719
O 2.0965 2.0965 0.0000
```

Summary:
E_tot   -6.27 eV/atom
Crystal system   tetragonal
Total magnetic moment   2.0 μB/cell

(11)
CoBi2Ir: optimized geometry, PBE.

The structure in extended XYZ format:
```
4
Lattice="0.0000 3.4445 3.4445 3.4445 0.0000 3.4445 3.4445 3.4445 0.0000" Properties=species:S:1:pos:R:3 pbc="T T T"
Co 0.0000 0.0000 0.0000
Bi 3.4445 3.4445 3.4445
Bi 5.1668 5.1668 5.1668
Ir 1.7223 1.7223 1.7223
```

Summary:
E_tot   -5.16 eV/atom
Crystal system   cubic
Total magnetic moment   2.0 μB/cell

(12)
CsY2AuO4: optimized geometry, PBE.

The structure in extended XYZ format:
```
8
Lattice="3.5438 0.0000 0.0000 -1.7719 3.0691 0.0000 0.0000 0.0000 13.6147" Properties=species:S:1:pos:R:3 pbc="T T T"
Cs 0.0000 0.0000 0.0000
Y 0.0000 2.0460 3.7717
Y 0.0000 2.0460 9.8430
Au 1.7719 1.0230 6.8074
O 0.0000 0.0000 2.6539
O 0.0000 0.0000 10.9608
O 1.7719 1.0230 4.7687
O 1.7719 1.0230 8.8460
```

Summary:
E_tot   -6.92 eV/atom
Crystal system   hexagonal
Total magnetic moment   0.0 μB/cell

(13)
HfInAuS3: optimized geometry, PBE.

The structure in extended XYZ format:
```
12
Lattice="1.8383 -7.5006 0.0000 1.8383 7.5006 0.0000 0.0000 0.0000 10.0168" Properties=species:S:1:pos:R:3 pbc="T T T"
Hf 0.0000 0.0000 0.0000
Hf 0.0000 0.0000 5.0084
In 1.8383 2.6792 7.5126
In 1.8383 -2.6792 2.5042
Au 1.8383 2.6821 2.5042
Au 1.8383 -2.6821 7.5126
S 1.8383 6.8450 2.5042
S 1.8383 1.7515 0.2739
S 1.8383 1.7515 4.7345
S 1.8383 -1.7515 5.2823
S 1.8383 -1.7515 9.7430
S 1.8383 -6.8450 7.5126
```

Summary:
E_tot   -5.59 eV/atom
Crystal system   orthorhombic
Total magnetic moment   0.0 μB/cell

(14)
NbFeCoAs: optimized geometry, PBE.

The structure in extended XYZ format:
```
4
Lattice="0.0000 2.9893 2.9893 2.9893 0.0000 2.9893 2.9893 2.9893 0.0000" Properties=species:S:1:pos:R:3 pbc="T T T"
Nb 0.0000 0.0000 0.0000
Fe 1.4946 1.4946 1.4946
Co 4.4839 4.4839 4.4839
As 2.9893 2.9893 2.9893
```

Summary:
E_tot   -7.56 eV/atom
Crystal system   cubic
Total magnetic moment   2.3 μB/cell

(15)
Nb3Ge5Au: optimized geometry, PBE.

The structure in extended XYZ format:
```
9
Lattice="5.5776 0.0000 0.0000 -2.7888 4.8303 0.0000 0.0000 0.0000 6.8085" Properties=species:S:1:pos:R:3 pbc="T T T"
Nb -1.3944 2.4152 0.0000
Nb 2.7888 0.0000 0.0000
Nb 1.3944 2.4152 0.0000
Ge 0.0000 0.0000 0.0000
Ge 0.0000 3.2202 2.1951
Ge 0.0000 3.2202 4.6134
Ge 2.7888 1.6101 2.1951
Ge 2.7888 1.6101 4.6134
Au 0.0000 0.0000 3.4043
```

Summary:
E_tot   -6.13 eV/atom
Crystal system   hexagonal
Total magnetic moment   0.0 μB/cell

(16)
K2Ho2O5: optimized geometry, PBE.

The structure in extended XYZ format:
```
9
Lattice="4.3479 0.0000 0.0000 0.0000 4.3479 0.0000 0.0000 0.0000 7.0972" Properties=species:S:1:pos:R:3 pbc="T T T"
K 0.0000 0.0000 1.3137
K 0.0000 0.0000 5.7835
Ho 2.1739 2.1739 0.0000
Ho 2.1739 2.1739 3.5486
O 0.0000 0.0000 3.5486
O 0.0000 2.1739 1.4636
O 0.0000 2.1739 5.6336
O 2.1739 0.0000 1.4636
O 2.1739 0.0000 5.6336
```

Summary:
E_tot   -4.99 eV/atom
Crystal system   tetragonal
Total magnetic moment   2.0 μB/cell

(17)
Li4AlZn2Ge: optimized geometry, PBE.

The structure in extended XYZ format:
```
8
Lattice="4.3589 0.0000 0.0000 0.0000 4.3589 0.0000 0.0000 0.0000 6.1865" Properties=species:S:1:pos:R:3 pbc="T T T"
Li 0.0000 0.0000 0.0000
Li 0.0000 2.1794 1.5130
Li 2.1794 0.0000 4.6735
Li 2.1794 2.1794 3.0933
Al 0.0000 0.0000 3.0933
Zn 0.0000 2.1794 4.6174
Zn 2.1794 0.0000 1.5691
Ge 2.1794 2.1794 0.0000
```

Summary:
E_tot   -2.60 eV/atom
Crystal system   tetragonal

(18)
LiNdHg3O4: optimized geometry, PBE.

The structure in extended XYZ format:
```
9
Lattice="5.8443 0.0000 0.0000 0.0000 5.8443 0.0000 0.0000 0.0000 5.8443" Properties=species:S:1:pos:R:3 pbc="T T T"
Li 0.0000 0.0000 0.0000
Nd 2.9222 2.9222 2.9222
Hg 0.0000 2.9222 2.9222
Hg 2.9222 0.0000 2.9222
Hg 2.9222 2.9222 0.0000
O 1.6095 1.6095 1.6095
O 1.6095 4.2348 4.2348
O 4.2348 1.6095 4.2348
O 4.2348 4.2348 1.6095
```

Summary:
E_tot   -3.80 eV/atom
Crystal system   cubic
Total magnetic moment   0.0 μB/cell

(19)
Cu2PbSe2: optimized geometry, PBE.

The structure in extended XYZ format:
```
10
Lattice="4.1376 0.0000 0.0000 0.0000 8.0122 0.0000 -2.8882 0.0000 6.3092" Properties=species:S:1:pos:R:3 pbc="T T T"
Cu -0.8610 1.1089 2.8574
Cu -2.3051 2.8972 6.0120
Cu 3.5545 5.1150 0.2972
Cu 2.1104 6.9032 3.4518
Pb 2.0688 0.0000 0.0000
Pb 0.6247 4.0061 3.1546
Se -1.4422 5.1904 5.1324
Se 0.0019 6.8279 1.9778
Se 1.2475 1.1843 4.3313
Se 2.6916 2.8218 1.1767
```

Summary:
E_tot   -3.84 eV/atom
Crystal system   monoclinic

(20)
Re2NiBi: optimized geometry, PBE.

The structure in extended XYZ format:
```
4
Lattice="0.0000 3.1945 3.1945 3.1945 0.0000 3.1945 3.1945 3.1945 0.0000" Properties=species:S:1:pos:R:3 pbc="T T T"
Re 0.0000 0.0000 0.0000
Re 1.5973 1.5973 1.5973
Ni 4.7918 4.7918 4.7918
Bi 3.1945 3.1945 3.1945
```

Summary:
E_tot   -7.76 eV/atom
Crystal system   cubic
Total magnetic moment   0.5 μB/cell